## Pr3Ho4Tm4 (GGA-PBE)

Data for crystalline Pr3Ho4Tm4 at its relaxed geometry.

CIF file:
```
data_Pr3Ho4Tm4
_chemical_formula_sum 'Pr6 Ho8 Tm8'
_symmetry_space_group_name_H-M 'C 1 2/m 1'
_symmetry_Int_Tables_number 12
_symmetry_space_group_name_Hall '-C 2y'
_cell_length_a 39.562
_cell_length_b 3.570
_cell_length_c 5.019
_cell_angle_alpha 90.00
_cell_angle_beta 97.28
_cell_angle_gamma 90.00
loop_
_atom_site_label
_atom_site_fract_x
_atom_site_fract_y
_atom_site_fract_z
_atom_site_occupancy
Pr1 0.000 0.000 0.000 1
Pr2 0.137 0.500 0.637 1
Ho1 0.046 0.500 0.546 1
Ho2 0.184 0.000 0.183 1
Tm1 0.091 0.000 0.091 1
Tm2 0.228 0.500 0.728 1
```

Calculated values
* total energy: -4.57 eV per atom
* formation energy from the elements: 0.024 eV per atom
* total moment: 0.0 μB/f.u.
* E above lowest polymorph: 0 meV/atom

=====

## Pr2Ho3Tm4 (GGA-PBE)

Data for crystalline Pr2Ho3Tm4 at its relaxed geometry.

CIF file:
```
data_Pr2Ho3Tm4
_chemical_formula_sum 'Pr4 Ho6 Tm8'
_symmetry_space_group_name_H-M 'C 1 2/m 1'
_symmetry_Int_Tables_number 12
_symmetry_space_group_name_Hall '-C 2y'
_cell_length_a 11.604
_cell_length_b 5.638
_cell_length_c 9.116
_cell_angle_alpha 90.00
_cell_angle_beta 104.29
_cell_angle_gamma 90.00
loop_
_atom_site_label
_atom_site_fract_x
_atom_site_fract_y
_atom_site_fract_z
_atom_site_occupancy
Pr1 0.071 0.000 0.287 1
Ho1 0.000 0.500 0.000 1
Ho2 0.110 0.500 0.686 1
Tm1 0.181 0.000 0.963 1
Tm2 0.230 0.500 0.365 1
```

Calculated values
* total energy: -4.49 eV per atom
* formation energy from the elements: 0.090 eV per atom
* total moment: 0.0 μB/f.u.
* E above lowest polymorph: 0 meV/atom

=====

## Pr3HoTm4 (GGA-PBE)

Data for crystalline Pr3HoTm4 at its relaxed geometry.

CIF file:
```
data_Pr3HoTm4
_chemical_formula_sum 'Pr6 Ho2 Tm8'
_symmetry_space_group_name_H-M 'P m n 21'
_symmetry_Int_Tables_number 31
_symmetry_space_group_name_Hall 'P 2ac -2'
_cell_length_a 11.426
_cell_length_b 7.311
_cell_length_c 6.274
_cell_angle_alpha 90.00
_cell_angle_beta 90.00
_cell_angle_gamma 90.00
loop_
_atom_site_label
_atom_site_fract_x
_atom_site_fract_y
_atom_site_fract_z
_atom_site_occupancy
Pr1 0.000 0.129 0.000 1
Pr2 0.250 0.128 0.338 1
Ho1 0.000 0.867 0.498 1
Tm1 0.000 0.380 0.501 1
Tm2 0.000 0.619 0.003 1
Tm3 0.248 0.620 0.336 1
```

Calculated values
* total energy: -4.58 eV per atom
* formation energy from the elements: 0.025 eV per atom
* total moment: 0.0 μB/f.u.
* E above lowest polymorph: 0 meV/atom

=====

## Pr2Ho5Tm3 (GGA-PBE)

Data for crystalline Pr2Ho5Tm3 at its relaxed geometry.

CIF file:
```
data_Pr2Ho5Tm3
_chemical_formula_sum 'Pr8 Ho20 Tm12'
_symmetry_space_group_name_H-M 'C 1 2/c 1'
_symmetry_Int_Tables_number 15
_symmetry_space_group_name_Hall '-C 2yc'
_cell_length_a 10.582
_cell_length_b 15.939
_cell_length_c 9.344
_cell_angle_alpha 90.00
_cell_angle_beta 124.19
_cell_angle_gamma 90.00
loop_
_atom_site_label
_atom_site_fract_x
_atom_site_fract_y
_atom_site_fract_z
_atom_site_occupancy
Pr1 0.140 0.127 0.046 1
Ho1 0.000 0.232 0.250 1
Ho2 0.000 0.274 0.750 1
Ho3 0.000 0.472 0.750 1
Ho4 0.230 0.384 0.218 1
Tm1 0.000 0.024 0.250 1
Tm2 0.158 0.380 0.549 1
```

Calculated values
* total energy: -4.39 eV per atom
* formation energy from the elements: 0.197 eV per atom
* total moment: 0.0 μB/f.u.
* E above lowest polymorph: 0 meV/atom

=====

## Pr2HoTm8 (GGA-PBE)

Data for crystalline Pr2HoTm8 at its relaxed geometry.

CIF file:
```
data_Pr2HoTm8
_chemical_formula_sum 'Pr4 Ho2 Tm16'
_symmetry_space_group_name_H-M 'C 1 2/m 1'
_symmetry_Int_Tables_number 12
_symmetry_space_group_name_Hall '-C 2y'
_cell_length_a 16.401
_cell_length_b 6.561
_cell_length_c 6.632
_cell_angle_alpha 90.00
_cell_angle_beta 100.37
_cell_angle_gamma 90.00
loop_
_atom_site_label
_atom_site_fract_x
_atom_site_fract_y
_atom_site_fract_z
_atom_site_occupancy
Pr1 0.245 0.000 0.312 1
Ho1 0.000 0.000 0.000 1
Tm1 0.085 0.260 0.399 1
Tm2 0.089 0.500 0.907 1
Tm3 0.198 0.000 0.803 1
```

Calculated values
* total energy: -4.36 eV per atom
* formation energy from the elements: 0.178 eV per atom
* total moment: 0.0 μB/f.u.
* E above lowest polymorph: 149 meV/atom

=====

## Pr3Ho3Tm8 (GGA-PBE)

Data for crystalline Pr3Ho3Tm8 at its relaxed geometry.

CIF file:
```
data_Pr3Ho3Tm8
_chemical_formula_sum 'Pr6 Ho6 Tm16'
_symmetry_space_group_name_H-M 'I m m m'
_symmetry_Int_Tables_number 71
_symmetry_space_group_name_Hall '-I 2 2'
_cell_length_a 5.603
_cell_length_b 10.735
_cell_length_c 15.001
_cell_angle_alpha 90.00
_cell_angle_beta 90.00
_cell_angle_gamma 90.00
loop_
_atom_site_label
_atom_site_fract_x
_atom_site_fract_y
_atom_site_fract_z
_atom_site_occupancy
Pr1 0.000 0.000 0.000 1
Pr2 0.000 0.500 0.315 1
Ho1 0.000 0.000 0.500 1
Ho2 0.000 0.296 0.500 1
Tm1 0.000 0.162 0.280 1
Tm2 0.000 0.342 0.102 1
```

Calculated values
* total energy: -4.45 eV per atom
* formation energy from the elements: 0.110 eV per atom
* total moment: 0.0 μB/f.u.